# CaHfTe2 (GGA-PBEsol, relaxed)
# Formation energy without anion corrections   -746 meV/atom
# Density   8.1 g/cm3
# Size of the total moment   5.41 μB per cell
# Density of states at the Fermi level   11.54 states/eV/cell
# Total energy   -5.67 eV/atom
data_CaHfTe2
_chemical_formula_sum 'Ca4 Hf4 Te8'
_space_group_name_H-M_alt 'F m -3 m'
_space_group_IT_number 225
_space_group_name_Hall '-F 4 2 3'
_cell_length_a 7.298
_cell_length_b 7.298
_cell_length_c 7.298
_cell_angle_alpha 90.00
_cell_angle_beta 90.00
_cell_angle_gamma 90.00
loop_
_atom_site_label
_atom_site_type_symbol
_atom_site_fract_x
_atom_site_fract_y
_atom_site_fract_z
Ca1 Ca 0.000 0.000 0.000
Hf1 Hf 0.000 0.000 0.500
Te1 Te 0.250 0.250 0.250


# Ca3HfTe (GGA-PBEsol, relaxed)
# Formation energy without anion corrections   314 meV/atom
# Density   3.7 g/cm3
# Size of the total moment   4.38 μB per cell
# Density of states at the Fermi level   7.98 states/eV/cell
# Total energy   -3.77 eV/atom
data_Ca3HfTe
_chemical_formula_sum 'Ca3 Hf1 Te1'
_space_group_name_H-M_alt 'P m -3 m'
_space_group_IT_number 221
_space_group_name_Hall '-P 4 2 3'
_cell_length_a 5.751
_cell_length_b 5.751
_cell_length_c 5.751
_cell_angle_alpha 90.00
_cell_angle_beta 90.00
_cell_angle_gamma 90.00
loop_
_atom_site_label
_atom_site_type_symbol
_atom_site_fract_x
_atom_site_fract_y
_atom_site_fract_z
Ca1 Ca 0.000 0.000 0.500
Hf1 Hf 0.500 0.500 0.500
Te1 Te 0.000 0.000 0.000